1.
VASP calculation (PBE) on crystalline Mg7PdPt4 at its relaxed geometry.

Results
Energy of formation in meV/atom: -573
Magnetic moment in μB/f.u.: 0.000

POSCAR file:
```
Mg7PdPt4
1.0
-3.487 -0.074 -3.212
3.256 -0.853 -7.015
-1.640 -6.485 -1.571
Mg Pd Pt
7 1 4
Direct
0.783 0.872 0.563
0.217 0.128 0.437
0.069 0.657 0.206
0.931 0.343 0.794
0.317 0.630 0.737
0.500 0.000 0.000
0.683 0.370 0.263
0.000 0.000 0.000
0.566 0.220 0.648
0.434 0.780 0.352
0.698 0.653 0.951
0.302 0.347 0.049
```



2.
VASP calculation (PBE) on crystalline Mg2PdPt at its relaxed geometry.

Results
Polymorph energy (0 for the lowest one) in eV per atom: 0.000
Energy of formation in meV/atom: -813
Magnetic moment in μB/f.u.: 0.000

POSCAR file:
```
Mg2PdPt
1.0
0.000 3.172 3.172
3.172 0.000 3.172
3.172 3.172 0.000
Mg Pd Pt
2 1 1
Direct
0.250 0.250 0.250
0.750 0.750 0.750
0.000 0.000 0.000
0.500 0.500 0.500
```



Computed values of mass density (unit: g/cm3) for the preceding records, in sequence: 7.8; 9.1.